(1)
This record from Alexandria describes an optimized crystal structure of GdScZn4. The functional is PBE.

a b c (Å): 5.377 5.377 5.377
angles (deg): 60.00 60.00 60.00
Positions (direct):
1 Gd 0.000 0.000 0.000
2 Sc 0.750 0.750 0.750
3 Zn 0.375 0.375 0.375
4 Zn 0.375 0.375 0.874
5 Zn 0.375 0.874 0.375
6 Zn 0.874 0.375 0.375

Summary:
**Theoretical density**: 7.01 g/cm3
**Uncorrected energy**: -4.577 eV per atom
**E_form**: -0.33 eV per atom


(2)
This record from Alexandria describes an optimized crystal structure of AgAsSe2. The functional is PBE.

a b c (Å): 3.860 3.860 6.254
angles (deg): 90.00 90.00 90.00
Positions (direct):
1 Ag 0.000 0.000 0.000
2 As 0.500 0.500 0.495
3 Se 0.000 0.000 0.572
4 Se 0.500 0.500 0.115

Summary:
**Raw formation energy**: -0.087 eV per atom
**Theoretical density**: 6.07 g/cm3
**Uncorrected energy**: -3.705 eV per atom


(3)
This record from Alexandria describes an optimized crystal structure of PHPdN. The functional is PBE.

a b c (Å): 3.121 3.166 4.963
angles (deg): 99.75 100.81 92.10
Positions (direct):
1 P 0.000 0.000 0.000
2 H 0.166 0.076 0.609
3 Pd 0.570 0.553 0.215
4 N 0.910 0.920 0.666

Summary:
**Theoretical density**: 5.34 g/cm3
**Uncorrected energy**: -5.574 eV per atom
**Excess energy over the best structure of this formula in the dataset**: 90.9 meV per atom


(4)
This record from Alexandria describes an optimized crystal structure of Tb2AgAu3. The functional is PBE.

a b c (Å): 9.426 8.813 5.878
angles (deg): 76.96 65.63 37.41
Positions (direct):
1 Tb 0.249 0.751 0.751
2 Tb 0.250 0.250 0.250
3 Tb 0.750 0.750 0.750
4 Tb 0.751 0.249 0.249
5 Ag 0.333 0.333 0.667
6 Ag 0.667 0.667 0.333
7 Au 0.166 0.166 0.834
8 Au 0.168 0.663 0.337
9 Au 0.337 0.832 0.168
10 Au 0.663 0.168 0.832
11 Au 0.832 0.337 0.663
12 Au 0.834 0.834 0.166

Summary:
**Theoretical density**: 12.71 g/cm3
**Uncorrected energy**: -4.302 eV per atom
**E_form**: -0.64 eV per atom
**Excess energy over the best structure of this formula in the dataset**: 40.4 meV per atom